{"formula": "SrCa2TiF", "functional": "PBE-GGA", "state": "relaxed", "lattice_angstrom": [[5.8854, 0.0000, 0.0000], [0.0000, 5.8854, 0.0000], [0.0000, 0.0000, 6.3874]], "species": ["Sr", "Ca", "Ca", "Ti", "F"], "frac_coords": [[0.0000, 0.0000, 0.0000], [0.0000, 0.5000, 0.5000], [0.5000, 0.0000, 0.5000], [0.0000, 0.0000, 0.5000], [0.5000, 0.5000, 0.0000]], "volume_a3_per_atom": 44.249, "spacegroup": "No. 123", "e_form_raw_mev_per_atom": 252.1}

***

{"formula": "SrCaTl2F6", "functional": "PBE-GGA", "state": "relaxed", "lattice_angstrom": [[6.4679, 0.0000, 0.0000], [0.0000, 6.5370, 0.0000], [-6.4325, 0.0000, 9.1720]], "species": ["Sr", "Sr", "Ca", "Ca", "Tl", "Tl", "Tl", "Tl", "F", "F", "F", "F", "F", "F", "F", "F", "F", "F", "F", "F"], "frac_coords": [[0.0000, 0.0000, 0.0000], [0.0000, 0.5000, 0.5000], [0.5000, 0.0000, 0.5000], [0.5000, 0.5000, 0.0000], [0.2598, 0.0284, 0.7502], [0.2598, 0.4716, 0.2502], [0.7402, 0.5284, 0.7498], [0.7402, 0.9716, 0.2498], [0.1752, 0.0233, 0.2585], [0.1752, 0.4767, 0.7585], [0.2648, 0.7057, 0.0441], [0.2648, 0.7943, 0.5441], [0.3420, 0.2209, 0.0457], [0.3420, 0.2791, 0.5457], [0.6580, 0.7209, 0.4543], [0.6580, 0.7791, 0.9543], [0.7352, 0.2057, 0.4559], [0.7352, 0.2943, 0.9559], [0.8248, 0.5233, 0.2415], [0.8248, 0.9767, 0.7415]], "volume_a3_per_atom": 19.390, "spacegroup": "No. 14", "e_form_raw_mev_per_atom": -3035.6}

***

{"formula": "Sr2CaTlF", "functional": "PBE-GGA", "state": "relaxed", "lattice_angstrom": [[5.3143, 0.0000, 0.0000], [0.0000, 5.3143, 0.0000], [0.0000, 0.0000, 5.1096]], "species": ["Sr", "Sr", "Ca", "Tl", "F"], "frac_coords": [[0.0000, 0.5000, 0.0000], [0.5000, 0.0000, 0.0000], [0.0000, 0.0000, 0.5000], [0.5000, 0.5000, 0.5000], [0.0000, 0.0000, 0.0000]], "volume_a3_per_atom": 28.860, "spacegroup": "No. 123", "e_form_raw_mev_per_atom": -1225.3}

***

{"formula": "SrCa2TlF", "functional": "PBE-GGA", "state": "relaxed", "lattice_angstrom": [[5.0816, 0.0000, 0.0000], [0.0000, 5.0816, 0.0000], [0.0000, 0.0000, 5.2123]], "species": ["Sr", "Ca", "Ca", "Tl", "F"], "frac_coords": [[0.0000, 0.0000, 0.0000], [0.0000, 0.5000, 0.5000], [0.5000, 0.0000, 0.5000], [0.5000, 0.5000, 0.0000], [0.0000, 0.0000, 0.5000]], "relative_energy_ev_per_atom": 0.000, "volume_a3_per_atom": 26.919, "spacegroup": "No. 123", "e_form_raw_mev_per_atom": -1235.5}

***

> Which formula does entry 4 have?

SrCa2TlF

***

> Number 2 is which compound?

SrCaTl2F6